Below is an optimized crystal structure of Na3HfCr3O8, with properties calculated at the PBE with a Hubbard U level.

Cell lengths 6.125, 6.126, 6.572 Å; angles 117.80, 90.00, 120.00 degrees
Atoms (fractional coordinates):
O (0.232, 0.962, 0.694)
O (0.232, 0.465, 0.694)
O (0.768, 0.535, 0.306)
O (0.768, 0.038, 0.306)
O (0.730, 0.461, 0.691)
O (0.270, 0.539, 0.309)
O (0.729, 0.962, 0.694)
O (0.271, 0.038, 0.306)
Na (0.000, 0.000, 0.000)
Na (0.000, 0.500, 0.000)
Na (0.500, 0.500, 0.000)
Hf (0.000, 0.000, 0.500)
Cr (0.000, 0.500, 0.500)
Cr (0.500, 0.000, 0.500)
Cr (0.500, 0.500, 0.500)

The value obtained for the calculated total energy is -108.95 eV for the cell shown. The calculation puts the mass density at 4.9 Mg/m³.